# HfReBi3

An optimized crystal structure of HfReBi3 (GGA-PBEsol, Alexandria via LeMat-Bulk).

Cell lengths 5.4933, 5.4933, 5.4933 Å; angles 90.00, 90.00, 90.00 degrees
Last column: nearest neighbours and their distance in Å.
Atoms (fractional coordinates):
Hf  0.0000  0.0000  0.0000  6 Bi 2.75
Re  0.5000  0.5000  0.5000  12 Bi 3.88
Bi  0.0000  0.0000  0.5000  2 Hf 2.75
Bi  0.0000  0.5000  0.0000  2 Hf 2.75
Bi  0.5000  0.0000  0.0000  2 Hf 2.75

Summary:
E_form: 1.6096 eV per atom

# K2ScAgAu

An optimized crystal structure of K2ScAgAu (GGA-PBEsol, Alexandria via LeMat-Bulk).

Cell lengths 6.6111, 6.6111, 4.8997 Å; angles 90.00, 90.00, 90.00 degrees
Last column: nearest neighbours and their distance in Å.
Atoms (fractional coordinates):
K  0.0000  0.5000  0.0000  2 Sc 3.31
K  0.5000  0.0000  0.0000  2 Sc 3.31
Sc  0.0000  0.0000  0.0000  2 Au 2.45
Ag  0.5000  0.5000  0.5000  8 K 4.11
Au  0.0000  0.0000  0.5000  2 Sc 2.45

Summary:
E_form: 0.7758 eV per atom

# Ba2V5P4O24

An optimized crystal structure of Ba2V5P4O24 (GGA-PBEsol, Alexandria via LeMat-Bulk).

Cell lengths 13.0214, 13.0214, 7.6859 Å; angles 101.02, 101.02, 123.45 degrees
Last column: nearest neighbours and their distance in Å.
Atoms (fractional coordinates):
Ba  0.0000  0.0000  0.0000  8 O 2.68-2.99
Ba  0.1504  0.1504  0.5803  7 O 2.68-2.88
Ba  0.3543  0.8504  0.0421  8 O 2.72-2.95
Ba  0.8504  0.3543  0.0421  8 O 2.72-2.95
V  0.1082  0.4766  0.7795  2 O 1.60-1.77
V  0.1108  0.7343  0.3064  2 O 1.60-1.78
V  0.2652  0.5449  0.2442  1 O 1.57
V  0.4534  0.4534  0.7545  2 O 1.62
V  0.4766  0.1082  0.7795  2 O 1.60-1.77
V  0.5449  0.2652  0.2442  1 O 1.57
V  0.6610  0.9559  0.8404  1 O 1.60
V  0.7343  0.1108  0.3064  2 O 1.60-1.78
V  0.7981  0.7981  0.3750  2 O 1.61-1.64
V  0.9559  0.6610  0.8404  1 O 1.60
P  0.0437  0.3070  0.3563  4 O 1.51-1.57
P  0.1693  0.9031  0.7261  4 O 1.51-1.56
P  0.3070  0.0437  0.3563  4 O 1.51-1.57
P  0.3974  0.6580  0.7249  4 O 1.51-1.55
P  0.5656  0.8241  0.3597  4 O 1.52-1.56
P  0.6580  0.3974  0.7249  4 O 1.51-1.55
P  0.8241  0.5656  0.3597  4 O 1.52-1.56
P  0.9031  0.1693  0.7261  4 O 1.51-1.56
O  0.0055  0.1502  0.7959  1 P 1.51
O  0.0322  0.5334  0.7092  1 V 1.60
O  0.0536  0.6696  0.0531  2 V 1.78-1.81
O  0.0547  0.1990  0.2827  1 P 1.51
O  0.1006  0.4173  0.2710  1 P 1.55
O  0.1037  0.8379  0.5057  1 P 1.55
O  0.1104  0.3670  0.5787  1 P 1.57
O  0.1179  0.7964  0.8193  1 P 1.56
O  0.1502  0.0055  0.7959  1 P 1.51
O  0.1699  0.5401  0.0310  2 V 1.77-1.82
O  0.1913  0.6832  0.3813  1 V 1.60
O  0.1990  0.0547  0.2827  1 P 1.51
O  0.2565  0.8974  0.3026  1 P 1.56
O  0.2814  0.6170  0.7947  1 P 1.54
O  0.3018  0.4534  0.1658  1 V 1.57
O  0.3176  0.9601  0.7849  1 P 1.56
O  0.3519  0.6056  0.5100  1 P 1.51
O  0.3630  0.3630  0.5330  1 V 1.62
O  0.3661  0.3661  0.8660  1 V 1.62
O  0.3670  0.1104  0.5787  1 P 1.57
O  0.4152  0.7170  0.2571  1 P 1.54
O  0.4173  0.1006  0.2710  1 P 1.55
O  0.4534  0.3018  0.1658  1 V 1.57
O  0.4736  0.6098  0.8089  1 P 1.55
O  0.4860  0.8104  0.8155  1 P 1.55
O  0.5334  0.0322  0.7092  1 V 1.60
O  0.5401  0.1699  0.0310  2 V 1.77-1.82
O  0.5912  0.9361  0.2863  1 P 1.55
O  0.6056  0.3519  0.5100  1 P 1.51
O  0.6091  0.8694  0.5748  1 P 1.52
O  0.6098  0.4736  0.8089  1 P 1.55
O  0.6170  0.2814  0.7947  1 P 1.54
O  0.6404  0.7734  0.2930  1 P 1.56
O  0.6696  0.0536  0.0531  2 V 1.78-1.81
O  0.6832  0.1913  0.3813  1 V 1.60
O  0.7170  0.4152  0.2571  1 P 1.54
O  0.7460  0.9119  0.9260  1 V 1.60
O  0.7734  0.6404  0.2930  1 P 1.56
O  0.7964  0.1179  0.8193  1 P 1.56
O  0.8104  0.4860  0.8155  1 P 1.55
O  0.8379  0.1037  0.5057  1 P 1.55
O  0.8552  0.8552  0.6045  1 V 1.61
O  0.8694  0.6091  0.5748  1 P 1.52
O  0.8974  0.2565  0.3026  1 P 1.56
O  0.9078  0.9078  0.3054  1 V 1.64
O  0.9119  0.7460  0.9260  1 V 1.60
O  0.9361  0.5912  0.2863  1 P 1.55
O  0.9601  0.3176  0.7849  1 P 1.56

Summary:
Formation energy from raw total energies: -2.448 eV/atom

# Cu3BiP

An optimized crystal structure of Cu3BiP (GGA-PBEsol, Alexandria via LeMat-Bulk).

Cell lengths 4.8403, 4.8403, 4.8403 Å; angles 90.00, 90.00, 90.00 degrees
Last column: nearest neighbours and their distance in Å.
Atoms (fractional coordinates):
Cu  0.0000  0.0000  0.5000  2 Bi 2.42
Cu  0.0000  0.5000  0.0000  2 Bi 2.42
Cu  0.5000  0.0000  0.0000  2 Bi 2.42
Bi  0.0000  0.0000  0.0000  6 Cu 2.42
P  0.5000  0.5000  0.5000  12 Cu 3.42

Summary:
E_form: 1.3675 eV per atom

# Tl2MoAu

An optimized crystal structure of Tl2MoAu (GGA-PBEsol, Alexandria via LeMat-Bulk).

Cell lengths 5.1226, 5.1226, 3.0585 Å; angles 90.00, 90.00, 105.50 degrees
Last column: nearest neighbours and their distance in Å.
Atoms (fractional coordinates):
Tl  0.0000  0.5000  0.0000  4 Au 2.98, 4 Mo 2.98, 4 Tl 3.06-3.10
Tl  0.5000  0.0000  0.0000  4 Au 2.98, 4 Mo 2.98, 4 Tl 3.06-3.10
Mo  0.0000  0.0000  0.5000  8 Tl 2.98, 2 Mo 3.06, 2 Au 3.10
Au  0.5000  0.5000  0.5000  8 Tl 2.98, 2 Au 3.06, 2 Mo 3.10

Summary:
E_form: 0.5042 eV per atom

# BaNi3Mo

An optimized crystal structure of BaNi3Mo (GGA-PBEsol, Alexandria via LeMat-Bulk).

Cell lengths 4.6321, 4.6321, 4.6321 Å; angles 90.00, 90.00, 90.00 degrees
Last column: nearest neighbours and their distance in Å.
Atoms (fractional coordinates):
Ba  0.0000  0.0000  0.0000  12 Ni 3.28
Ni  0.0000  0.5000  0.5000  2 Mo 2.32
Ni  0.5000  0.0000  0.5000  2 Mo 2.32
Ni  0.5000  0.5000  0.0000  2 Mo 2.32
Mo  0.5000  0.5000  0.5000  6 Ni 2.32

Summary:
E_form: 0.7398 eV per atom

# TcMoRh2

An optimized crystal structure of TcMoRh2 (GGA-PBEsol, Alexandria via LeMat-Bulk).

Cell lengths 2.6926, 4.3372, 4.7462 Å; angles 90.00, 90.00, 90.00 degrees
Last column: nearest neighbours and their distance in Å.
Atoms (fractional coordinates):
Tc  0.0000  0.0000  0.0000  8 Rh 2.66-2.74, 2 Mo 2.68, 2 Tc 2.69
Mo  0.0000  0.5000  0.6670  8 Rh 2.68-2.76, 2 Tc 2.68, 2 Mo 2.69
Rh  0.5000  0.0000  0.4970  4 Mo 2.68, 4 Rh 2.69-2.70, 4 Tc 2.72-2.74
Rh  0.5000  0.5000  0.1593  4 Tc 2.66, 4 Rh 2.69-2.70, 4 Mo 2.70-2.76

Summary:
E_form: -0.2302 eV per atom

# Mg2ScW

An optimized crystal structure of Mg2ScW (GGA-PBEsol, Alexandria via LeMat-Bulk).

Cell lengths 2.7700, 5.0288, 5.4419 Å; angles 90.00, 96.90, 90.00 degrees
Last column: nearest neighbours and their distance in Å.
Atoms (fractional coordinates):
Mg  0.2417  0.0000  0.2647  5 Mg 2.77-3.03, 2 W 2.94, 2 Sc 3.03
Mg  0.7583  0.0000  0.7353  5 Mg 2.77-3.03, 2 W 2.94, 2 Sc 3.03
Sc  0.5000  0.5000  0.0000  2 Sc 2.77, 2 W 2.90, 4 Mg 3.03
W  0.0000  0.5000  0.5000  2 W 2.77, 2 Sc 2.90, 4 Mg 2.94

Summary:
E_form: 0.3603 eV per atom

# YInP

An optimized crystal structure of YInP (GGA-PBEsol, Alexandria via LeMat-Bulk).

Cell lengths 6.1059, 5.9252, 3.5084 Å; angles 75.89, 70.24, 33.87 degrees
Last column: nearest neighbours and their distance in Å.
Atoms (fractional coordinates):
Y  0.0000  0.0000  0.0000  2 P 2.69
In  0.7096  0.7096  0.2904  2 P 2.82
P  0.3650  0.3650  0.6350  2 Y 2.69, 2 In 2.82

Summary:
E_form: -0.5605 eV per atom

# Ta2HgPb

An optimized crystal structure of Ta2HgPb (GGA-PBEsol, Alexandria via LeMat-Bulk).

Cell lengths 5.1994, 5.1994, 4.8847 Å; angles 104.15, 104.15, 38.11 degrees
Last column: nearest neighbours and their distance in Å.
Atoms (fractional coordinates):
Ta  0.2482  0.2482  0.2344  4 Ta 2.86-3.09, 3 Hg 2.95-2.98, 3 Pb 3.00-3.05
Ta  0.7518  0.7518  0.7656  4 Ta 2.86-3.09, 3 Hg 2.95-2.98, 3 Pb 3.00-3.05
Hg  0.5000  0.5000  0.0000  6 Ta 2.95-2.98, 4 Pb 2.97
Pb  0.0000  0.0000  0.5000  4 Hg 2.97, 6 Ta 3.00-3.05

Summary:
E_form: 0.4179 eV per atom

# Se2SIN

An optimized crystal structure of Se2SIN (GGA-PBEsol, Alexandria via LeMat-Bulk).

Cell lengths 5.3829, 5.3829, 3.8764 Å; angles 90.00, 90.00, 90.00 degrees
Last column: nearest neighbours and their distance in Å.
Atoms (fractional coordinates):
Se  0.0000  0.5000  0.0000  2 I 2.69
Se  0.5000  0.0000  0.0000  2 I 2.69
S  0.0000  0.0000  0.5000  8 Se 3.32
I  0.5000  0.5000  0.0000  2 N 1.94
N  0.5000  0.5000  0.5000  2 I 1.94

Summary:
Formation energy from raw total energies: 1.551 eV/atom